First-principles (PBE with a Hubbard U) data for TaMnO2 after structural relaxation, as listed in the Alexandria database.

a b c (Å): 6.4596 6.4596 6.4596
angles (deg): 28.26 28.26 28.26
Element x y z (fractional)
1 O 0.1037 0.1037 0.1037
2 O 0.8963 0.8963 0.8963
3 Ta 0.0000 0.0000 0.0000
4 Mn 0.5000 0.5000 0.5000

Total energy = -35.7 eV per cell
Size of the total moment = 5.0 μB per cell
Space-group type = R-3m